Entry from Alexandria: a geometry-optimized AlCd3Ag6 structure (PBE).

```
20
Lattice="4.4271 0.0000 0.0000 0.0000 8.9135 -0.4610 0.0000 -0.2379 9.3863" Properties=species:S:1:pos:R:3 pbc="T T T"
Cd 3.3203 3.9348 5.4133
Ag 1.1068 5.7706 6.2647
Ag 1.1068 1.2384 1.7252
Ag 1.1068 3.9438 0.7108
Al 3.3203 0.3528 3.6497
Ag 3.3203 2.9050 2.6606
Ag 1.1068 1.9034 4.5103
Cd 3.3203 5.7003 1.6542
Ag 3.3203 8.4328 0.6181
Ag 1.1068 0.2428 8.3072
Ag 1.1068 7.6065 2.6138
Cd 1.1068 2.9753 7.2711
Ag 3.3203 6.7722 4.4150
Ag 3.3203 1.0691 6.3115
Ag 3.3203 4.7318 8.2145
Cd 1.1068 6.7513 -0.2850
Ag 3.3203 7.4372 7.2001
Al 1.1068 8.3228 5.2756
Cd 3.3203 1.9243 9.2103
Cd 1.1068 4.7408 3.5120
```

## Properties
Its total energy is -48.08 eV/cell. The formation energy is -0.0444 eV/atom. The calculation puts the excess energy over the best structure of this formula in the dataset at 0 kJ/mol of formula units.